(1)
This record from Alexandria via LeMat-Bulk describes a relaxed PrMg2Zn2Si crystal. The functional is GGA-PBE.

Cell lengths 5.0156, 5.0156, 11.1077 Å; angles 90.00, 90.00, 90.00 degrees
Space group I4/mmm (No. 139)
Symmetry-distinct sites (fractional):
Pr (0.0000, 0.0000, 0.0000) (multiplicity 2)
Mg (0.0000, 0.5000, 0.2500) (multiplicity 4)
Zn (0.0000, 0.0000, 0.2932) (multiplicity 4)
Si (0.0000, 0.0000, 0.5000) (multiplicity 2)

Summary:
- total DFT energy (no corrections) (eV/atom) = -2.58
- M_tot (μB/f.u.) = 0.000

=====

(2)
This record from Alexandria via LeMat-Bulk describes a relaxed Li2ZnP2 crystal. The functional is GGA-PBE.

Cell lengths 7.6315, 7.6315, 2.5284 Å; angles 90.00, 90.00, 90.00 degrees
Space group P4/mbm (No. 127)
Symmetry-distinct sites (fractional):
Li (0.1189, 0.3811, 0.0000) (multiplicity 4)
Zn (0.0000, 0.0000, 0.0000) (multiplicity 2)
P (0.1801, 0.6801, 0.5000) (multiplicity 4)

Summary:
- total DFT energy (no corrections) (eV/atom) = -3.36
- ΔE to the lowest computed polymorph (eV per formula unit) = 1.13
- energy of formation (eV/f.u.) = -0.88
- M_tot (μB/f.u.) = 0.000

=====

(3)
This record from Alexandria via LeMat-Bulk describes a relaxed NaBSb2I crystal. The functional is GGA-PBE.

Cell lengths 4.6310, 4.6310, 9.1452 Å; angles 90.00, 90.00, 90.00 degrees
Space group P4/mmm (No. 123)
Symmetry-distinct sites (fractional):
Na (0.0000, 0.0000, 0.0000) (multiplicity 1)
B (0.5000, 0.5000, 0.5000) (multiplicity 1)
Sb (0.0000, 0.5000, 0.5000) (multiplicity 2)
I (0.5000, 0.5000, 0.0000) (multiplicity 1)

Summary:
- total DFT energy (no corrections) (eV/atom) = -3.18
- ΔE to the lowest computed polymorph (eV per formula unit) = 0.00
- M_tot (μB/f.u.) = 0.000

=====

(4)
This record from Alexandria via LeMat-Bulk describes a relaxed CdBiCN2 crystal. The functional is GGA-PBE.

Cell lengths 4.3909, 4.3909, 4.5352 Å; angles 90.00, 90.00, 90.00 degrees
Space group P4/mmm (No. 123)
Symmetry-distinct sites (fractional):
Cd (0.0000, 0.0000, 0.0000) (multiplicity 1)
Bi (0.5000, 0.5000, 0.5000) (multiplicity 1)
C (0.5000, 0.5000, 0.0000) (multiplicity 1)
N (0.0000, 0.5000, 0.5000) (multiplicity 2)

Summary:
- total DFT energy (no corrections) (eV/atom) = -3.79
- M_tot (μB/f.u.) = 2.986

=====

(5)
This record from Alexandria via LeMat-Bulk describes a relaxed NdIrCl crystal. The functional is GGA-PBE.

Cell lengths 7.4705, 4.3173, 10.6638 Å; angles 90.00, 91.79, 90.00 degrees
Space group C2/m (No. 12)
Symmetry-distinct sites (fractional):
Nd (0.0082, 0.0000, 0.1801) (multiplicity 4)
Ir (0.1665, 0.5000, 0.9952) (multiplicity 4)
Cl (0.1813, 0.5000, 0.3345) (multiplicity 4)

Summary:
- total DFT energy (no corrections) (eV/atom) = -6.55
- ΔE to the lowest computed polymorph (eV per formula unit) = 0.00
- M_tot (μB/f.u.) = 0.000

=====

(6)
This record from Alexandria via LeMat-Bulk describes a relaxed LiFe2P crystal. The functional is GGA-PBE.

Cell lengths 5.5679, 5.5679, 5.5679 Å; angles 90.00, 90.00, 90.00 degrees
Space group F-43m (No. 216)
Symmetry-distinct sites (fractional):
Li (0.0000, 0.0000, 0.0000) (multiplicity 4)
Fe (0.0000, 0.0000, 0.5000) (multiplicity 4)
Fe (0.2500, 0.2500, 0.7500) (multiplicity 4)
P (0.2500, 0.2500, 0.2500) (multiplicity 4)

Summary:
- total DFT energy (no corrections) (eV/atom) = -6.28
- energy of formation (eV/f.u.) = -0.87
- M_tot (μB/f.u.) = 3.900

=====

(7)
This record from Alexandria via LeMat-Bulk describes a relaxed Ce2NpSn9 crystal. The functional is GGA-PBE.

Cell lengths 4.6987, 4.6987, 14.0536 Å; angles 90.00, 90.00, 90.00 degrees
Space group P4/mmm (No. 123)
Symmetry-distinct sites (fractional):
Ce (0.0000, 0.0000, 0.1684) (multiplicity 2)
Np (0.0000, 0.0000, 0.5000) (multiplicity 1)
Sn (0.0000, 0.5000, 0.0000) (multiplicity 2)
Sn (0.0000, 0.5000, 0.3366) (multiplicity 4)
Sn (0.5000, 0.5000, 0.1682) (multiplicity 2)
Sn (0.5000, 0.5000, 0.5000) (multiplicity 1)

Summary:
- total DFT energy (no corrections) (eV/atom) = -5.48
- energy of formation (eV/f.u.) = -4.95
- M_tot (μB/f.u.) = 3.682

=====

(8)
This record from Alexandria via LeMat-Bulk describes a relaxed CsNb3Hg crystal. The functional is GGA-PBE.

Cell lengths 5.2833, 5.2833, 5.2833 Å; angles 90.00, 90.00, 90.00 degrees
Space group Pm-3m (No. 221)
Symmetry-distinct sites (fractional):
Cs (0.0000, 0.0000, 0.0000) (multiplicity 1)
Nb (0.0000, 0.5000, 0.5000) (multiplicity 3)
Hg (0.5000, 0.5000, 0.5000) (multiplicity 1)

Summary:
- total DFT energy (no corrections) (eV/atom) = -4.15
- ΔE to the lowest computed polymorph (eV per formula unit) = 0.00
- energy of formation (eV/f.u.) = 10.59
- M_tot (μB/f.u.) = 3.935